An optimized crystal structure of Re2MoPb, computed with PBE.

Lattice parameters (Å, degrees): 2.9553 2.9553 8.0285 90.00 90.00 90.00
Sites, in units of the cell vectors:
Mo1 0.0000 0.0000 0.4701
Pb1 0.5000 0.5000 0.7549
Re1 0.0000 0.0000 0.0343
Re2 0.5000 0.5000 0.2406

Summary:
ΔH_f (0 K) ... 0.56 eV/atom
E_tot ... -37.2 eV for the cell shown
DOS at the Fermi energy ... 0.748 states/eV per atom